1.
VASP calculation (PBE-GGA) on Pr2ZnCu2 after structural relaxation.

Cell: 10.4771 4.4469 10.7853 Å, 90.00 117.84 90.00°
Last column: nearest neighbours and their distance in Å.
Space group C2/m (No. 12)
Asymmetric unit:
1 Pr 0.0218 0.0000 0.3414  7 Cu 3.06-3.25, 4 Zn 3.07-3.13
2 Pr 0.1990 0.0000 0.1116  6 Cu 3.07-3.21, 2 Zn 3.31
3 Zn 0.2276 0.5000 0.3500  4 Cu 2.56-2.83
4 Cu 0.0077 0.5000 0.8876  1 Cu 2.50, 1 Zn 2.60
5 Cu 0.1402 0.5000 0.5617  3 Zn 2.56-2.83, 1 Cu 2.60

=====

2.
VASP calculation (PBE-GGA) on PrZn3Cu2 after structural relaxation.

Cell: 4.3084 4.3084 6.6089 Å, 90.00 90.00 120.00°
Last column: nearest neighbours and their distance in Å.
Space group P-3m1 (No. 164)
Asymmetric unit:
1 Pr 0.0000 0.0000 0.0000  8 Zn 3.19-3.30, 6 Cu 3.20
2 Zn 0.0000 0.0000 0.5000  6 Cu 2.80, 6 Zn 2.81
3 Zn 0.3333 0.6667 0.6969  4 Cu 2.49-2.59
4 Cu 0.3333 0.6667 0.3056  4 Zn 2.49-2.59

=====

Results for E: -4.02 -2.99 (in eV/atom, following the order of the records).
Results for energy relative to the elements: -0.215 -0.194 (in eV per atom, following the order of the records).